Entry 1:
Mg2HgPb: optimized geometry, PBE.

Lattice parameters (Å, degrees): 9.9860 9.9860 9.9860 19.79 19.79 19.79
With the nearest neighbours (Å) after each atom.
Fractional positions:
Mg: 0.4896 0.4896 0.4896  3 Hg 2.92
Mg: 0.0104 0.0104 0.0104  3 Hg 2.92
Pb: 0.2500 0.2500 0.2500  6 Mg 3.39, 6 Pb 3.43
Hg: 0.7500 0.7500 0.7500  6 Mg 2.92

As for the energy relative to the elements: -0.4 eV/f.u.

***

Entry 2:
Mg5Hg6Pb: optimized geometry, PBE.

Lattice parameters (Å, degrees): 5.0134 7.2965 8.0418 90.00 111.59 90.00
With the nearest neighbours (Å) after each atom.
Fractional positions:
Hg: 0.1695 0.2595 0.3506  7 Mg 2.97-3.16, 1 Pb 3.24, 1 Hg 3.30
Hg: 0.8305 0.7405 0.6494  7 Mg 2.97-3.16, 1 Pb 3.24, 1 Hg 3.30
Hg: 0.5000 0.7271 0.0000  6 Mg 2.97-3.16, 2 Pb 3.20, 1 Hg 3.31
Hg: 0.5000 0.2729 0.0000  6 Mg 2.97-3.16, 2 Pb 3.20, 1 Hg 3.31
Hg: 0.8305 0.2595 0.6494  7 Mg 2.97-3.16, 1 Pb 3.24, 1 Hg 3.30
Hg: 0.1695 0.7405 0.3506  7 Mg 2.97-3.16, 1 Pb 3.24, 1 Hg 3.30
Mg: 0.6583 0.5000 0.3287  8 Hg 2.97-3.07
Mg: 0.6595 0.0000 0.3281  8 Hg 3.06-3.16, 1 Pb 3.39
Mg: 0.0000 0.5000 0.0000  8 Hg 3.00-3.16
Mg: 0.3405 0.0000 0.6719  8 Hg 3.06-3.16, 1 Pb 3.39
Mg: 0.3417 0.5000 0.6713  8 Hg 2.97-3.07
Pb: 0.0000 0.0000 0.0000  8 Hg 3.20-3.24, 2 Mg 3.39

As for the energy relative to the elements: -1.8 eV/f.u.

***

Entry 3:
MgHg6Pb: optimized geometry, PBE.

Lattice parameters (Å, degrees): 4.6403 4.6403 9.3633 90.00 90.00 90.00
With the nearest neighbours (Å) after each atom.
Fractional positions:
Hg: 0.5000 0.0000 0.7357  8 Hg 3.20-3.39, 2 Mg 3.20, 2 Pb 3.39
Hg: 0.0000 0.5000 0.2643  8 Hg 3.20-3.39, 2 Mg 3.20, 2 Pb 3.39
Hg: 0.5000 0.5000 0.5000  8 Hg 3.20, 4 Mg 3.28
Hg: 0.5000 0.0000 0.2643  2 Mg 3.20, 8 Hg 3.20-3.39, 2 Pb 3.39
Hg: 0.5000 0.5000 0.0000  4 Pb 3.28, 8 Hg 3.39
Hg: 0.0000 0.5000 0.7357  8 Hg 3.20-3.39, 2 Mg 3.20, 2 Pb 3.39
Pb: 0.0000 0.0000 0.0000  12 Hg 3.28-3.39
Mg: 0.0000 0.0000 0.5000  12 Hg 3.20-3.28

As for the energy relative to the elements: -0.1 eV/f.u.

***

Entry 4:
MgHgPb2: optimized geometry, PBE.

Lattice parameters (Å, degrees): 3.3738 3.3738 10.9566 90.00 90.00 114.76
With the nearest neighbours (Å) after each atom.
Fractional positions:
Pb: 0.0000 0.0000 0.5115  2 Mg 3.18, 4 Pb 3.37, 2 Hg 3.39
Pb: 0.0000 0.0000 0.9885  2 Mg 3.18, 4 Pb 3.37, 2 Hg 3.39
Mg: 0.5000 0.5000 0.7500  4 Pb 3.18, 4 Mg 3.37
Hg: 0.5000 0.5000 0.2500  6 Hg 3.37-3.64, 4 Pb 3.39

As for the energy relative to the elements: 0.1 eV/f.u.

***

Entry 5:
Mg7HgPb2: optimized geometry, PBE.

Lattice parameters (Å, degrees): 8.3292 9.1692 8.2835 69.82 59.82 62.99
With the nearest neighbours (Å) after each atom.
Fractional positions:
Mg: 0.3686 0.7500 0.2500  1 Hg 3.02, 2 Pb 3.02, 4 Mg 3.15-3.33
Mg: 0.5898 0.8125 0.4642  1 Hg 2.87, 1 Pb 3.09, 1 Mg 3.20
Mg: 0.9227 0.4259 0.4126  2 Hg 2.91-3.05, 3 Mg 3.04-3.23, 1 Pb 3.07
Mg: 0.3323 0.4456 0.1525  1 Hg 2.88, 2 Mg 2.98-3.04, 3 Pb 3.03-3.21
Mg: 0.6677 0.5544 0.8475  1 Hg 2.88, 2 Mg 2.98-3.04, 3 Pb 3.03-3.21
Mg: 0.1336 0.3125 0.9642  1 Hg 2.87, 1 Pb 3.09, 1 Mg 3.20
Mg: 0.4102 0.1875 0.5358  1 Hg 2.87, 1 Pb 3.09, 1 Mg 3.20
Mg: 0.9305 0.0544 0.3475  1 Hg 2.88, 2 Mg 2.98-3.04, 3 Pb 3.03-3.21
Mg: 0.2388 0.9259 0.9126  2 Hg 2.91-3.05, 3 Mg 3.04-3.23, 1 Pb 3.07
Mg: 0.0773 0.5741 0.5874  2 Hg 2.91-3.05, 3 Mg 3.04-3.23, 1 Pb 3.07
Mg: 0.0695 0.9456 0.6525  1 Hg 2.88, 2 Mg 2.98-3.04, 3 Pb 3.03-3.21
Mg: 0.8664 0.6875 0.0358  1 Hg 2.87, 1 Pb 3.09, 1 Mg 3.20
Mg: 0.6314 0.2500 0.7500  1 Hg 3.02, 2 Pb 3.02, 4 Mg 3.15-3.33
Mg: 0.7612 0.0741 0.0874  2 Hg 2.91-3.05, 3 Mg 3.04-3.23, 1 Pb 3.07
Pb: 0.6679 0.4036 0.2590  8 Mg 3.02-3.26
Pb: 0.3321 0.5964 0.7410  8 Mg 3.02-3.26
Pb: 0.3306 0.0964 0.2410  8 Mg 3.02-3.26
Pb: 0.6694 0.9036 0.7590  8 Mg 3.02-3.26
Hg: 0.0065 0.7500 0.2500  9 Mg 2.87-3.05
Hg: 0.9935 0.2500 0.7500  9 Mg 2.87-3.05

As for the energy relative to the elements: -0.7 eV/f.u.

***

Entry 6:
Mg2HgPb9: optimized geometry, PBE.

Lattice parameters (Å, degrees): 4.8759 4.8759 14.9037 90.00 90.00 90.00
With the nearest neighbours (Å) after each atom.
Fractional positions:
Pb: 0.5000 0.5000 0.3373  8 Pb 3.44-3.48, 4 Mg 3.45
Pb: 0.5000 0.0000 0.1708  2 Mg 3.43, 8 Pb 3.45-3.53, 2 Hg 3.53
Pb: 0.5000 0.0000 0.8292  2 Mg 3.43, 8 Pb 3.45-3.53, 2 Hg 3.53
Pb: 0.5000 0.5000 0.0000  4 Hg 3.45, 8 Pb 3.53
Pb: 0.0000 0.5000 0.1708  2 Mg 3.43, 8 Pb 3.45-3.53, 2 Hg 3.53
Pb: 0.0000 0.5000 0.5000  8 Pb 3.44-3.45, 4 Mg 3.48
Pb: 0.5000 0.0000 0.5000  8 Pb 3.44-3.45, 4 Mg 3.48
Pb: 0.5000 0.5000 0.6627  8 Pb 3.44-3.48, 4 Mg 3.45
Pb: 0.0000 0.5000 0.8292  2 Mg 3.43, 8 Pb 3.45-3.53, 2 Hg 3.53
Mg: 0.0000 0.0000 0.3330  12 Pb 3.43-3.48
Mg: 0.0000 0.0000 0.6670  12 Pb 3.43-3.48
Hg: 0.0000 0.0000 0.0000  12 Pb 3.45-3.53

As for the energy relative to the elements: 0.1 eV/f.u.

***

Entry 7:
Mg7Hg3Pb: optimized geometry, PBE.

Lattice parameters (Å, degrees): 5.5127 7.4859 7.4859 90.78 111.61 111.61
With the nearest neighbours (Å) after each atom.
Fractional positions:
Mg: 0.3223 0.0400 0.6045  2 Hg 2.81-2.93, 2 Mg 3.12
Mg: 0.1785 0.1738 0.1738  1 Pb 2.92, 4 Hg 2.92-3.19, 1 Mg 3.11
Mg: 0.6777 0.3955 0.9600  2 Hg 2.81-2.93, 2 Mg 3.12
Mg: 0.3223 0.6045 0.0400  2 Hg 2.81-2.93, 2 Mg 3.12
Mg: 0.8215 0.8262 0.8262  1 Pb 2.92, 4 Hg 2.92-3.19, 1 Mg 3.11
Mg: 0.6777 0.9600 0.3955  2 Hg 2.81-2.93, 2 Mg 3.12
Mg: 0.0000 0.5000 0.5000  2 Pb 2.76, 2 Hg 2.85
Hg: 0.0000 0.7678 0.2322  9 Mg 2.85-3.19
Hg: 0.0000 0.2322 0.7678  9 Mg 2.85-3.19
Hg: 0.5000 0.0000 0.0000  6 Mg 2.81-3.14
Pb: 0.5000 0.5000 0.5000  4 Mg 2.76-2.92

As for the energy relative to the elements: -0.9 eV/f.u.

***

Entry 8:
Mg8Hg3Pb: optimized geometry, PBE.

Lattice parameters (Å, degrees): 8.2277 8.2394 8.2288 48.32 109.37 131.68
With the nearest neighbours (Å) after each atom.
Fractional positions:
Mg: 0.6145 0.0000 0.8701  3 Hg 2.87-2.90, 1 Pb 2.99
Mg: 0.8703 0.0000 0.6147  3 Hg 2.87-2.90, 1 Pb 2.99
Mg: 0.1300 0.5153 0.8699  3 Hg 2.88-2.89, 1 Pb 3.00
Mg: 0.3851 0.5152 0.6148  3 Hg 2.88-2.89, 1 Pb 3.00
Mg: 0.8699 0.4848 0.1299  3 Hg 2.88-2.89, 1 Pb 3.00
Mg: 0.1299 0.0000 0.3857  3 Hg 2.87-2.90, 1 Pb 2.99
Mg: 0.6147 0.4847 0.3852  3 Hg 2.88-2.89, 1 Pb 3.00
Mg: 0.3857 0.0000 0.1298  3 Hg 2.87-2.90, 1 Pb 2.99
Pb: 0.0002 0.0000 0.0002  8 Mg 2.99-3.00
Hg: 0.7500 0.5000 0.7499  8 Mg 2.89-2.90
Hg: 0.2499 0.5000 0.2499  8 Mg 2.89-2.90
Hg: 0.5000 0.0000 0.5000  8 Mg 2.87-2.88

As for the energy relative to the elements: -1.3 eV/f.u.

***

Entry 9:
Mg2HgPb: optimized geometry, PBE.

Lattice parameters (Å, degrees): 5.1854 5.1854 3.5591 89.86 89.86 93.44
With the nearest neighbours (Å) after each atom.
Fractional positions:
Mg: 0.5000 0.5000 0.0000  4 Hg 3.14-3.15, 4 Pb 3.14-3.15
Mg: 0.0000 0.0000 0.0000  4 Pb 3.14-3.15, 4 Hg 3.14-3.15
Hg: 0.0000 0.5000 0.5000  8 Mg 3.14-3.15
Pb: 0.5000 0.0000 0.5000  8 Mg 3.14-3.15

As for the energy relative to the elements: -0.5 eV/f.u.

***

Entry 10:
Mg15HgPb4: optimized geometry, PBE.

Lattice parameters (Å, degrees): 4.7716 4.7716 20.6844 90.00 90.00 90.00
With the nearest neighbours (Å) after each atom.
Fractional positions:
Hg: 0.0000 0.0000 0.0000  12 Mg 3.05-3.37
Mg: 0.0000 0.5000 0.7047  8 Mg 3.17-3.37, 4 Pb 3.18-3.19
Mg: 0.5000 0.5000 0.8059  8 Mg 3.17-3.19, 4 Pb 3.37
Mg: 0.5000 0.0000 0.9082  8 Mg 3.05-3.37, 2 Hg 3.05, 2 Pb 3.17
Mg: 0.5000 0.0000 0.2953  8 Mg 3.17-3.37, 4 Pb 3.18-3.19
Mg: 0.0000 0.5000 0.9082  8 Mg 3.05-3.37, 2 Hg 3.05, 2 Pb 3.17
Mg: 0.0000 0.5000 0.0918  2 Hg 3.05, 8 Mg 3.05-3.37, 2 Pb 3.17
Mg: 0.5000 0.5000 0.0000  8 Mg 3.05, 4 Hg 3.37
Mg: 0.5000 0.0000 0.0918  2 Hg 3.05, 8 Mg 3.05-3.37, 2 Pb 3.17
Mg: 0.0000 0.5000 0.2953  8 Mg 3.17-3.37, 4 Pb 3.18-3.19
Mg: 0.5000 0.0000 0.5000  8 Mg 3.20-3.37, 4 Pb 3.20
Mg: 0.5000 0.5000 0.1941  8 Mg 3.17-3.19, 4 Pb 3.37
Mg: 0.5000 0.5000 0.6029  8 Mg 3.18-3.20, 4 Pb 3.37
Mg: 0.5000 0.0000 0.7047  8 Mg 3.17-3.37, 4 Pb 3.18-3.19
Mg: 0.5000 0.5000 0.3971  8 Mg 3.18-3.20, 4 Pb 3.37
Mg: 0.0000 0.5000 0.5000  8 Mg 3.20-3.37, 4 Pb 3.20
Pb: 0.0000 0.0000 0.6033  12 Mg 3.18-3.37
Pb: 0.0000 0.0000 0.8071  12 Mg 3.17-3.37
Pb: 0.0000 0.0000 0.1929  12 Mg 3.17-3.37
Pb: 0.0000 0.0000 0.3967  12 Mg 3.18-3.37

As for the energy relative to the elements: -1.2 eV/f.u.

***

Entry 11:
MgHgPb2: optimized geometry, PBE.

Lattice parameters (Å, degrees): 12.1467 12.1467 12.1467 15.76 15.76 15.76
With the nearest neighbours (Å) after each atom.
Fractional positions:
Mg: 0.7500 0.7500 0.7500  6 Mg 3.33, 6 Pb 3.37
Hg: 0.2500 0.2500 0.2500  6 Hg 3.33
Pb: 0.0064 0.0064 0.0064  6 Pb 3.33, 3 Mg 3.37
Pb: 0.4936 0.4936 0.4936  6 Pb 3.33, 3 Mg 3.37

As for the energy relative to the elements: 0.0 eV/f.u.